PC2Br: relaxed, PBE-GGA.

a = 5.189 Å, b = 5.189 Å, c = 7.835 Å
α = 90.00°, β = 90.00°, γ = 90.00°
Space group I-42d (No. 122)
Unique sites:
P 0.000 0.000 0.000 [4 per cell]
C 0.137 0.250 0.125 [8 per cell]
Br 0.000 0.000 0.500 [4 per cell]

Output
- Energy: -4.863 eV per atom
- Relative energy among the computed polymorphs: 0.0 meV per atom
- E_form (uncorrected): 1520 meV per atom


PC2Br: relaxed, PBE-GGA.

a = 5.862 Å, b = 5.862 Å, c = 5.862 Å
α = 90.00°, β = 90.00°, γ = 90.00°
Space group Fm-3m (No. 225)
Unique sites:
P 0.000 0.000 0.000 [4 per cell]
C 0.250 0.250 0.250 [8 per cell]
Br 0.000 0.000 0.500 [4 per cell]

Output
- Energy: -3.385 eV per atom
- Relative energy among the computed polymorphs: 1478.1 meV per atom
- E_form (uncorrected): 2998 meV per atom


P2CBr: relaxed, PBE-GGA.

a = 6.204 Å, b = 6.204 Å, c = 6.204 Å
α = 90.00°, β = 90.00°, γ = 90.00°
Space group Fm-3m (No. 225)
Unique sites:
P 0.250 0.250 0.250 [8 per cell]
C 0.000 0.000 0.000 [4 per cell]
Br 0.000 0.000 0.500 [4 per cell]

Output
- Energy: -3.322 eV per atom
- Relative energy among the computed polymorphs: 1151.4 meV per atom
- E_form (uncorrected): 2107 meV per atom


PC3Br: relaxed, PBE-GGA.

a = 4.018 Å, b = 4.018 Å, c = 4.018 Å
α = 90.00°, β = 90.00°, γ = 90.00°
Space group Pm-3m (No. 221)
Unique sites:
P 0.000 0.000 0.000 [1 per cell]
C 0.000 0.500 0.500 [3 per cell]
Br 0.500 0.500 0.500 [1 per cell]

Output
- Energy: -3.199 eV per atom
- Relative energy among the computed polymorphs: 1317.4 meV per atom
- E_form (uncorrected): 3752 meV per atom


P2CBr: relaxed, PBE-GGA.

a = 6.104 Å, b = 6.104 Å, c = 7.148 Å
α = 90.00°, β = 90.00°, γ = 90.00°
Space group I-42d (No. 122)
Unique sites:
P 0.133 0.250 0.125 [8 per cell]
C 0.000 0.000 0.000 [4 per cell]
Br 0.000 0.000 0.500 [4 per cell]

Output
- Energy: -4.473 eV per atom
- Relative energy among the computed polymorphs: 0.0 meV per atom
- E_form (uncorrected): 956 meV per atom


PC3Br: relaxed, PBE-GGA.

a = 3.746 Å, b = 3.746 Å, c = 3.746 Å
α = 90.00°, β = 90.00°, γ = 90.00°
Space group Pm-3m (No. 221)
Unique sites:
P 0.000 0.000 0.000 [1 per cell]
C 0.000 0.000 0.500 [3 per cell]
Br 0.500 0.500 0.500 [1 per cell]

Output
- Energy: -4.516 eV per atom
- Relative energy among the computed polymorphs: 0.0 meV per atom
- E_form (uncorrected): 2435 meV per atom


Pm8P3CBr4: relaxed, PBE-GGA.

a = 8.1406 Å, b = 8.1406 Å, c = 21.7830 Å
α = 90.00°, β = 90.00°, γ = 120.00°
Space group R-3m (No. 166, hexagonal axes)
Unique sites:
Pm 0.0000 0.0000 0.2334 [6 per cell]
Pm 0.0271 0.5136 0.2310 [18 per cell]
P 0.0000 0.5000 0.5000 [9 per cell]
C 0.0000 0.0000 0.5000 [3 per cell]
Br 0.0000 0.0000 0.0000 [3 per cell]
Br 0.0000 0.5000 0.0000 [9 per cell]

Output
- Energy: -5.735 eV per atom
- E_form (uncorrected): -1350 meV per atom


Pr8PC3Br4: relaxed, PBE-GGA.

a = 7.8845 Å, b = 7.8845 Å, c = 22.5447 Å
α = 90.00°, β = 90.00°, γ = 120.00°
Space group R-3m (No. 166, hexagonal axes)
Unique sites:
Pr 0.0000 0.0000 0.2276 [6 per cell]
Pr 0.0208 0.5104 0.7705 [18 per cell]
P 0.0000 0.0000 0.5000 [3 per cell]
C 0.0000 0.5000 0.5000 [9 per cell]
Br 0.0000 0.0000 0.0000 [3 per cell]
Br 0.0000 0.5000 0.0000 [9 per cell]

Output
- Energy: -5.894 eV per atom
- E_form (uncorrected): -1018 meV per atom


Pr8P3CBr4: relaxed, PBE-GGA.

a = 8.2638 Å, b = 8.2638 Å, c = 22.1974 Å
α = 90.00°, β = 90.00°, γ = 120.00°
Space group R-3m (No. 166, hexagonal axes)
Unique sites:
Pr 0.0000 0.0000 0.2339 [6 per cell]
Pr 0.0266 0.5133 0.2315 [18 per cell]
P 0.0000 0.5000 0.5000 [9 per cell]
C 0.0000 0.0000 0.5000 [3 per cell]
Br 0.0000 0.0000 0.0000 [3 per cell]
Br 0.0000 0.5000 0.0000 [9 per cell]

Output
- Energy: -5.741 eV per atom
- E_form (uncorrected): -1342 meV per atom


Rb2PCBr6: relaxed, PBE-GGA.

a = 7.309 Å, b = 7.309 Å, c = 10.354 Å
α = 90.00°, β = 90.00°, γ = 90.00°
Space group I4/mmm (No. 139)
Unique sites:
Rb 0.000 0.500 0.250 [4 per cell]
P 0.000 0.000 0.000 [2 per cell]
C 0.000 0.000 0.500 [2 per cell]
Br 0.000 0.000 0.252 [4 per cell]
Br 0.246 0.246 0.500 [8 per cell]

Output
- Energy: -2.932 eV per atom
- E_form (uncorrected): -272 meV per atom


RbP2CBr: relaxed, PBE-GGA.

a = 4.197 Å, b = 4.197 Å, c = 7.273 Å
α = 90.00°, β = 90.00°, γ = 90.00°
Space group P4/mmm (No. 123)
Unique sites:
Rb 0.000 0.000 0.000 [1 per cell]
P 0.000 0.500 0.500 [2 per cell]
C 0.000 0.000 0.500 [1 per cell]
Br 0.500 0.500 0.000 [1 per cell]

Output
- Energy: -3.841 eV per atom
- E_form (uncorrected): 695 meV per atom


RbPC2Br: relaxed, PBE-GGA.

a = 4.931 Å, b = 4.931 Å, c = 5.050 Å
α = 90.00°, β = 90.00°, γ = 90.00°
Space group P4/mmm (No. 123)
Unique sites:
Rb 0.000 0.000 0.000 [1 per cell]
P 0.500 0.500 0.000 [1 per cell]
C 0.000 0.500 0.500 [2 per cell]
Br 0.500 0.500 0.500 [1 per cell]

Output
- Energy: -2.751 eV per atom
- E_form (uncorrected): 2549 meV per atom


PCS2Br: relaxed, PBE-GGA.

a = 4.798 Å, b = 4.798 Å, c = 5.056 Å
α = 90.00°, β = 90.00°, γ = 90.00°
Space group P4/mmm (No. 123)
Unique sites:
P 0.000 0.000 0.000 [1 per cell]
C 0.500 0.500 0.000 [1 per cell]
S 0.000 0.500 0.500 [2 per cell]
Br 0.000 0.000 0.500 [1 per cell]

Output
- Energy: -2.284 eV per atom
- Relative energy among the computed polymorphs: 1223.5 meV per atom
- E_form (uncorrected): 2629 meV per atom


PCS2Br: relaxed, PBE-GGA.

a = 3.879 Å, b = 3.879 Å, c = 7.588 Å
α = 90.00°, β = 90.00°, γ = 90.00°
Space group P4/mmm (No. 123)
Unique sites:
P 0.000 0.000 0.000 [1 per cell]
C 0.000 0.000 0.500 [1 per cell]
S 0.000 0.500 0.500 [2 per cell]
Br 0.500 0.500 0.000 [1 per cell]

Output
- Energy: -3.507 eV per atom
- Relative energy among the computed polymorphs: 0.0 meV per atom
- E_form (uncorrected): 1405 meV per atom


PCSeBr2: relaxed, PBE-GGA.

a = 5.026 Å, b = 5.026 Å, c = 4.973 Å
α = 90.00°, β = 90.00°, γ = 90.00°
Space group P4/mmm (No. 123)
Unique sites:
P 0.000 0.000 0.000 [1 per cell]
C 0.500 0.500 0.500 [1 per cell]
Se 0.000 0.000 0.500 [1 per cell]
Br 0.000 0.500 0.000 [2 per cell]

Output
- Energy: -2.670 eV per atom
- Relative energy among the computed polymorphs: 155.2 meV per atom
- E_form (uncorrected): 1623 meV per atom


PCSeBr2: relaxed, PBE-GGA.

a = 4.592 Å, b = 4.592 Å, c = 4.503 Å
α = 90.00°, β = 90.00°, γ = 90.00°
Space group P4/mmm (No. 123)
Unique sites:
P 0.000 0.000 0.000 [1 per cell]
C 0.500 0.500 0.500 [1 per cell]
Se 0.500 0.500 0.000 [1 per cell]
Br 0.000 0.500 0.500 [2 per cell]

Output
- Energy: -2.825 eV per atom
- Relative energy among the computed polymorphs: 0.0 meV per atom
- E_form (uncorrected): 1468 meV per atom


P2CSeBr: relaxed, PBE-GGA.

a = 4.997 Å, b = 4.997 Å, c = 3.911 Å
α = 90.00°, β = 90.00°, γ = 90.00°
Space group P4/mmm (No. 123)
Unique sites:
P 0.000 0.500 0.000 [2 per cell]
C 0.000 0.000 0.500 [1 per cell]
Se 0.000 0.000 0.000 [1 per cell]
Br 0.500 0.500 0.500 [1 per cell]

Output
- Energy: -3.248 eV per atom
- E_form (uncorrected): 1792 meV per atom


PCSe2Br: relaxed, PBE-GGA.

a = 4.411 Å, b = 4.411 Å, c = 4.600 Å
α = 90.00°, β = 90.00°, γ = 90.00°
Space group P4/mmm (No. 123)
Unique sites:
P 0.000 0.000 0.000 [1 per cell]
C 0.500 0.500 0.500 [1 per cell]
Se 0.000 0.500 0.500 [2 per cell]
Br 0.500 0.500 0.000 [1 per cell]

Output
- Energy: -3.246 eV per atom
- Relative energy among the computed polymorphs: 0.0 meV per atom
- E_form (uncorrected): 1409 meV per atom


PCSe2Br: relaxed, PBE-GGA.

a = 4.884 Å, b = 4.884 Å, c = 4.943 Å
α = 90.00°, β = 90.00°, γ = 90.00°
Space group P4/mmm (No. 123)
Unique sites:
P 0.000 0.000 0.000 [1 per cell]
C 0.500 0.500 0.500 [1 per cell]
Se 0.000 0.500 0.000 [2 per cell]
Br 0.000 0.000 0.500 [1 per cell]

Output
- Energy: -2.908 eV per atom
- Relative energy among the computed polymorphs: 338.6 meV per atom
- E_form (uncorrected): 1747 meV per atom


Sm6P2CBr3: relaxed, PBE-GGA.

a = 18.591 Å, b = 3.988 Å, c = 8.642 Å
α = 90.00°, β = 108.41°, γ = 90.00°
Space group C2/m (No. 12)
Unique sites:
Sm 0.007 0.000 0.199 [4 per cell]
Sm 0.142 0.500 0.094 [4 per cell]
Sm 0.177 0.500 0.552 [4 per cell]
P 0.165 0.000 0.327 [4 per cell]
C 0.000 0.500 0.000 [2 per cell]
Br 0.000 0.500 0.500 [2 per cell]
Br 0.167 0.000 0.833 [4 per cell]

Output
- Energy: -5.743 eV per atom
- E_form (uncorrected): -1295 meV per atom